(1)
Computed, not measured: an optimized crystal structure of VCI2N at the PBE level of DFT.

The density of states at the Fermi level is 2.51 states/eV/f.u. As for the density: 5.03 g cm⁻³. As for the crystal system: tetragonal. The value obtained for the formation energy from raw total energies is 1363 meV per atom. The calculation puts the energy above the most stable polymorph in this dataset at 0.078 eV/f.u.

The structure belongs to space group P4/mmm (No. 123); the cell edges are 5.4614, 5.4614 and 3.6588 Å and the angles 90.00°, 90.00° and 90.00°. The distinct sites, in fractional coordinates, are V at (0.0000, 0.0000, 0.0000), C at (0.5000, 0.5000, 0.5000), I at (0.0000, 0.5000, 0.0000) and N at (0.0000, 0.0000, 0.5000).

(2)
Computed, not measured: an optimized crystal structure of BaNdMg2Tl4 at the PBE level of DFT.

The density of states at the Fermi level is 4.18 states/eV/f.u. As for the density: 7.76 g cm⁻³. As for the crystal system: trigonal. The calculation puts the formation energy at -0.28 eV per atom.

The structure belongs to space group R-3m (No. 166, hexagonal axes); the cell edges are 4.9789, 4.9789 and 34.3300 Å and the angles 90.00°, 90.00° and 120.00°. The distinct sites, in fractional coordinates, are Ba at (0.0000, 0.0000, 0.0000), Nd at (0.0000, 0.0000, 0.5000), Mg at (0.0000, 0.0000, 0.2368), Tl at (0.0000, 0.0000, 0.1203) and Tl at (0.0000, 0.0000, 0.3959).

(3)
Computed, not measured: an optimized crystal structure of YSc3Te2 at the PBE level of DFT.

The density of states at the Fermi level is 6.42 states/eV/f.u. As for the density: 5.10 g cm⁻³. As for the crystal system: monoclinic. The value obtained for the formation energy from raw total energies is -802 meV per atom.

The structure belongs to space group C2/m (No. 12); the cell edges are 15.1329, 4.0537 and 11.3607 Å and the angles 90.00°, 116.40° and 90.00°. The distinct sites, in fractional coordinates, are Y at (0.1339, 0.0000, 0.0630), Sc at (0.0434, 0.0000, 0.3701), Sc at (0.1198, 0.5000, 0.6036), Sc at (0.2155, 0.5000, 0.3883), Te at (0.0168, 0.5000, 0.1583) and Te at (0.1956, 0.0000, 0.8177).

(4)
Computed, not measured: an optimized crystal structure of Be2RuRh at the PBE level of DFT.

The density of states at the Fermi level is 4.07 states/eV/f.u. As for the density: 8.51 g cm⁻³. As for the crystal system: monoclinic. The calculation puts the formation energy at -0.38 eV per atom.

The structure belongs to space group Pm (No. 6); the cell edges are 2.7854, 3.6928 and 4.4272 Å and the angles 90.00°, 108.05° and 90.00°. The distinct sites, in fractional coordinates, are Be at (0.0000, 0.0000, 0.0000), Be at (0.1556, 0.5000, 0.3175), Ru at (0.4378, 0.5000, 0.8705) and Rh at (0.7192, 0.0000, 0.4465).